Record 1
PrCr2RuO8 PBE with a Hubbard U relaxed; symmetry = P2/m (10); electronic total energy = -88.214 eV per formula unit; D(E_F) = 5.9 states/eV/cell
1.0
4.713 0.000 0.000
0.000 6.448 0.000
-0.172 0.000 4.773
Pr Cr Ru O
1 2 1 8
Direct
0.000 0.000 0.000 Pr
0.500 0.250 0.500 Cr
0.500 0.750 0.500 Cr
0.000 0.500 0.000 Ru
0.220 0.293 0.199 O
0.220 0.707 0.199 O
0.284 0.500 0.700 O
0.316 0.000 0.650 O
0.684 0.000 0.350 O
0.716 0.500 0.300 O
0.780 0.293 0.801 O
0.780 0.707 0.801 O

***

Record 2
PrCr2SbO6 PBE with a Hubbard U relaxed; symmetry = P1 (1); electronic total energy = -74.746 eV per formula unit
1.0
5.531 0.000 0.000
2.729 4.840 0.000
2.721 1.610 4.570
Pr Cr Sb O
1 2 1 6
Direct
0.000 0.000 0.000 Pr
0.231 0.257 0.234 Cr
0.739 0.767 0.736 Cr
0.511 0.535 0.536 Sb
0.062 0.546 0.904 O
0.413 0.960 0.554 O
0.452 0.948 0.045 O
0.569 0.426 0.944 O
0.900 0.094 0.462 O
0.950 0.574 0.422 O

***

Record 3
PrCr2SbO8 PBE with a Hubbard U relaxed; symmetry = C2/m (12); electronic total energy = -85.013 eV per formula unit
1.0
3.715 -3.083 0.000
3.715 3.083 0.000
-1.153 0.000 6.893
Pr Cr Sb O
1 2 1 8
Direct
0.000 0.000 0.000 Pr
0.438 0.438 0.770 Cr
0.562 0.562 0.230 Cr
0.000 0.000 0.500 Sb
0.209 0.768 0.277 O
0.232 0.791 0.723 O
0.265 0.265 0.545 O
0.331 0.331 0.982 O
0.669 0.669 0.018 O
0.735 0.735 0.455 O
0.768 0.209 0.277 O
0.791 0.232 0.723 O

***

Record 4
PrSc4Cr3O12 PBE with a Hubbard U relaxed; symmetry = Im-3 (204); electronic total energy = -166.410 eV per formula unit
1.0
-3.896 3.896 3.896
3.896 -3.896 3.896
3.896 3.896 -3.896
Pr Sc Cr O
1 4 3 12
Direct
0.000 0.000 0.000 Pr
0.000 0.000 0.500 Sc
0.000 0.500 0.000 Sc
0.500 0.000 0.000 Sc
0.500 0.500 0.500 Sc
0.000 0.500 0.500 Cr
0.500 0.000 0.500 Cr
0.500 0.500 0.000 Cr
0.144 0.310 0.834 O
0.166 0.475 0.310 O
0.166 0.856 0.690 O
0.310 0.166 0.475 O
0.310 0.834 0.144 O
0.475 0.310 0.166 O
0.525 0.690 0.834 O
0.690 0.166 0.856 O
0.690 0.834 0.525 O
0.834 0.144 0.310 O
0.834 0.525 0.690 O
0.856 0.690 0.166 O

***

Record 5
PrCr3Se4O12 PBE with a Hubbard U relaxed; symmetry = R32 (155); electronic total energy = -124.900 eV per formula unit; D(E_F) = 3.2 states/eV/cell
1.0
5.298 3.059 2.701
-5.298 3.059 2.701
0.000 -6.118 2.701
Pr Cr Se O
1 3 4 12
Direct
0.000 0.000 0.000 Pr
0.000 0.586 0.414 Cr
0.414 0.000 0.586 Cr
0.586 0.414 0.000 Cr
0.114 0.500 0.886 Se
0.500 0.500 0.500 Se
0.500 0.886 0.114 Se
0.886 0.114 0.500 Se
0.010 0.276 0.333 O
0.056 0.944 0.500 O
0.276 0.333 0.010 O
0.318 0.682 0.500 O
0.333 0.010 0.276 O
0.500 0.056 0.944 O
0.500 0.318 0.682 O
0.667 0.724 0.990 O
0.682 0.500 0.318 O
0.724 0.990 0.667 O
0.944 0.500 0.056 O
0.990 0.667 0.724 O

***

Record 6
PrSmCr2O8 PBE with a Hubbard U relaxed; symmetry = I-4m2 (119); electronic total energy = -91.660 eV per formula unit; D(E_F) = 1.1 states/eV/cell
1.0
-3.709 3.709 3.217
3.709 -3.709 3.217
3.709 3.709 -3.217
Pr Sm Cr O
1 1 2 8
Direct
0.000 0.000 0.000 Pr
0.750 0.250 0.500 Sm
0.250 0.750 0.500 Cr
0.500 0.500 0.000 Cr
0.079 0.400 0.321 O
0.079 0.757 0.679 O
0.150 0.333 0.818 O
0.243 0.921 0.321 O
0.515 0.333 0.182 O
0.600 0.921 0.679 O
0.667 0.485 0.818 O
0.667 0.850 0.182 O

***

Record 7
SrPrCrSnO6 PBE with a Hubbard U relaxed; symmetry = F-43m (216); electronic total energy = -71.228 eV per formula unit; D(E_F) = 0.0 states/eV/cell
1.0
0.000 4.012 4.012
4.012 0.000 4.012
4.012 4.012 0.000
Sr Pr Cr Sn O
1 1 1 1 6
Direct
0.000 0.000 0.000 Sr
0.500 0.500 0.500 Pr
0.750 0.750 0.750 Cr
0.250 0.250 0.250 Sn
0.503 0.503 0.997 O
0.503 0.997 0.503 O
0.503 0.997 0.997 O
0.997 0.503 0.503 O
0.997 0.503 0.997 O
0.997 0.997 0.503 O

***

Record 8
SrPrCrO4 PBE with a Hubbard U relaxed; symmetry = I4mm (107); electronic total energy = -52.858 eV per formula unit; D(E_F) = 0.0 states/eV/cell
1.0
-1.957 1.957 6.221
1.957 -1.957 6.221
1.957 1.957 -6.221
Sr Pr Cr O
1 1 1 4
Direct
0.000 0.000 0.000 Sr
0.717 0.717 0.000 Pr
0.360 0.360 0.000 Cr
0.193 0.193 0.000 O
0.349 0.849 0.500 O
0.527 0.527 0.000 O
0.849 0.349 0.500 O

***

Record 9
SrPrCr2O8 PBE with a Hubbard U relaxed; symmetry = P-3m1 (164); electronic total energy = -85.381 eV per formula unit; D(E_F) = 6.4 states/eV/cell
1.0
5.753 0.000 0.000
-2.877 4.982 0.000
0.000 0.000 7.410
Sr Pr Cr O
1 1 2 8
Direct
0.000 0.000 0.000 Sr
0.000 0.000 0.500 Pr
0.333 0.667 0.798 Cr
0.667 0.333 0.202 Cr
0.171 0.341 0.724 O
0.171 0.829 0.724 O
0.333 0.667 0.020 O
0.341 0.171 0.276 O
0.659 0.829 0.724 O
0.667 0.333 0.980 O
0.829 0.171 0.276 O
0.829 0.659 0.276 O

***

Record 10
PrTaCr2O6 PBE with a Hubbard U relaxed; symmetry = P1 (1); electronic total energy = -83.630 eV per formula unit
1.0
5.428 0.000 0.000
-2.682 4.739 0.000
-2.710 -1.557 4.869
Pr Ta Cr O
1 1 2 6
Direct
0.000 0.000 0.000 Pr
0.972 0.483 0.454 Ta
0.575 0.286 0.858 Cr
0.589 0.793 0.380 Cr
0.080 0.437 0.164 O
0.088 0.216 0.633 O
0.419 0.866 0.629 O
0.525 0.085 0.169 O
0.729 0.641 0.165 O
0.768 0.554 0.631 O

***

Record 11
TbPrCr2O8 PBE with a Hubbard U relaxed; symmetry = I-4m2 (119); electronic total energy = -91.652 eV per formula unit; D(E_F) = 1.0 states/eV/cell
1.0
-3.683 3.683 3.196
3.683 -3.683 3.196
3.683 3.683 -3.196
Tb Pr Cr O
1 1 2 8
Direct
0.000 0.000 0.000 Tb
0.250 0.750 0.500 Pr
0.500 0.500 0.000 Cr
0.750 0.250 0.500 Cr
0.325 0.147 0.822 O
0.325 0.503 0.178 O
0.398 0.083 0.315 O
0.497 0.675 0.822 O
0.768 0.083 0.685 O
0.853 0.675 0.178 O
0.917 0.232 0.315 O
0.917 0.602 0.685 O

***

Record 12
PrCr2TeO8 PBE with a Hubbard U relaxed; symmetry = P-1 (2); electronic total energy = -82.258 eV per formula unit; D(E_F) = 3.5 states/eV/cell
1.0
3.892 0.000 0.000
-1.929 5.082 0.000
-0.004 -0.145 7.958
Pr Cr Te O
1 2 1 8
Direct
0.000 0.000 0.000 Pr
0.299 0.604 0.734 Cr
0.701 0.396 0.266 Cr
0.000 0.000 0.500 Te
0.124 0.247 0.727 O
0.148 0.297 0.276 O
0.369 0.737 0.941 O
0.387 0.775 0.539 O
0.613 0.225 0.461 O
0.631 0.263 0.059 O
0.852 0.703 0.724 O
0.876 0.753 0.273 O